1.
A plane-wave DFT calculation with GGA-PBE was carried out for a relaxed structure of La4Tl3Rh.

Structure (POSCAR):
```
La4Tl3Rh
1.0
-2.876 0.977 2.075
0.934 -2.541 2.491
9.852 11.636 8.174
Tl La Rh
3 4 1
Direct
0.500 0.500 0.500 Tl
0.500 0.500 0.238 Tl
0.500 0.500 0.762 Tl
0.000 0.000 0.367 La
0.000 0.000 0.902 La
0.000 0.000 0.633 La
0.000 0.000 0.098 La
0.500 0.500 0.000 Rh
```

## Properties
The formation energy comes out at -3.9 eV/f.u. As for the magnetic moment: 0.0 μB/f.u.

=====

2.
A plane-wave DFT calculation with GGA-PBE was carried out for a relaxed structure of RbPaP2S8.

Structure (POSCAR):
```
RbPaP2S8
1.0
6.205 0.000 0.000
3.102 5.374 0.000
3.102 1.791 10.008
P S Pa Rb
2 8 1 1
Direct
0.742 0.742 0.773 P
0.258 0.258 0.227 P
0.593 0.293 0.155 S
0.040 0.407 0.845 S
0.960 0.593 0.155 S
0.808 0.808 0.577 S
0.707 0.040 0.845 S
0.293 0.960 0.155 S
0.407 0.707 0.845 S
0.192 0.192 0.423 S
0.000 0.000 0.000 Pa
0.500 0.500 0.500 Rb
```

## Properties
As for the magnetic moment: 0.0 μB/f.u. The formation energy without anion corrections comes out at -0.70 eV/atom.

=====

3.
A plane-wave DFT calculation with GGA-PBE was carried out for a relaxed structure of Er3In2Pt3.

Structure (POSCAR):
```
Er3In2Pt3
1.0
3.560 0.000 0.000
0.000 4.830 0.000
-1.780 -2.415 10.184
In Er Pt
2 3 3
Direct
0.270 0.770 0.541 In
0.730 0.230 0.459 In
0.381 0.381 0.761 Er
0.619 0.619 0.239 Er
0.500 0.000 0.000 Er
0.887 0.887 0.773 Pt
0.113 0.113 0.227 Pt
0.000 0.500 0.000 Pt
```

## Properties
The formation energy comes out at -7.4 eV/f.u. As for the magnetic moment: 0.0 μB/f.u.

=====

4.
A plane-wave DFT calculation with GGA-PBE was carried out for a relaxed structure of Nb2GaIr.

Structure (POSCAR):
```
Nb2GaIr
1.0
7.259 0.000 0.000
0.000 7.259 0.000
3.630 3.630 2.761
Ga Nb Ir
2 4 2
Direct
0.250 0.750 0.500 Ga
0.500 0.500 0.000 Ga
0.875 0.894 0.750 Nb
0.644 0.125 0.250 Nb
0.375 0.356 0.750 Nb
0.106 0.625 0.250 Nb
0.750 0.250 0.500 Ir
0.000 0.000 0.000 Ir
```

## Properties
The formation energy comes out at 0.5 eV/f.u. As for the magnetic moment: 0.0 μB/f.u.

=====

5.
A plane-wave DFT calculation with GGA-PBE was carried out for a relaxed structure of RbIO3.

Structure (POSCAR):
```
RbIO3
1.0
-6.182 1.847 -2.403
-1.454 -8.565 -2.844
-3.014 -1.378 6.692
I O Rb
4 12 4
Direct
0.618 0.120 0.333 I
0.382 0.880 0.667 I
0.118 0.380 0.167 I
0.882 0.620 0.833 I
0.206 0.244 0.001 O
0.706 0.256 0.499 O
0.794 0.756 0.999 O
0.302 0.051 0.569 O
0.699 0.637 0.657 O
0.301 0.363 0.343 O
0.698 0.949 0.431 O
0.801 0.137 0.157 O
0.198 0.551 0.069 O
0.802 0.449 0.931 O
0.294 0.744 0.501 O
0.199 0.863 0.843 O
0.587 0.603 0.282 Rb
0.413 0.397 0.718 Rb
0.087 0.897 0.218 Rb
0.913 0.103 0.782 Rb
```

## Properties
As for the magnetic moment: 0.0 μB/f.u. The formation energy without anion corrections comes out at -0.90 eV/atom.

=====

6.
A plane-wave DFT calculation with GGA-PBE was carried out for a relaxed structure of ReRh.

Structure (POSCAR):
```
ReRh
1.0
1.946 4.319 -0.004
-1.946 4.319 -0.004
0.000 3.485 6.903
Rh Re
4 4
Direct
0.502 0.502 0.745 Rh
0.005 0.005 0.496 Rh
0.499 0.499 0.256 Rh
0.748 0.748 0.877 Rh
0.245 0.245 0.626 Re
0.256 0.256 0.123 Re
0.752 0.752 0.374 Re
0.994 0.994 0.004 Re
```

## Properties
The formation energy comes out at -0.1 eV/f.u. As for the magnetic moment: 0.0 μB/f.u. The energy above the most stable polymorph in this dataset is 0.124 eV per atom.

=====

7.
A plane-wave DFT calculation with GGA-PBE was carried out for a relaxed structure of CdIr2Ru.

Structure (POSCAR):
```
CdIr2Ru
1.0
-2.396 0.514 1.297
1.334 -2.385 0.471
4.760 4.081 7.175
Ir Ru Cd
2 1 1
Direct
0.000 0.000 0.486 Ir
0.000 0.000 0.014 Ir
0.500 0.500 0.250 Ru
0.500 0.500 0.750 Cd
```

## Properties
The formation energy comes out at 1.5 eV/f.u. As for the magnetic moment: 1.1 μB/f.u.

=====

8.
A plane-wave DFT calculation with GGA-PBE was carried out for a relaxed structure of SnHgI2.

Structure (POSCAR):
```
SnHgI2
1.0
-3.339 -0.178 3.049
-2.124 -3.915 0.804
5.073 -3.579 8.704
I Sn Hg
2 1 1
Direct
0.273 0.273 0.181 I
0.727 0.727 0.819 I
0.000 0.000 0.000 Sn
0.500 0.500 0.500 Hg
```

## Properties
As for the magnetic moment: 0.0 μB/f.u. The formation energy without anion corrections comes out at -0.35 eV/atom. The energy above the most stable polymorph in this dataset is 0.000 eV per atom.

=====

9.
A plane-wave DFT calculation with GGA-PBE was carried out for a relaxed structure of SmAg2F6.

Structure (POSCAR):
```
SmAg2F6
1.0
3.948 0.000 -1.134
0.022 5.522 0.077
-0.337 1.395 6.264
F Sm Ag
6 1 2
Direct
0.852 0.862 0.703 F
0.165 0.627 0.331 F
0.835 0.373 0.669 F
0.506 0.726 0.013 F
0.148 0.138 0.297 F
0.494 0.274 0.987 F
0.000 0.500 0.000 Sm
0.674 0.833 0.348 Ag
0.326 0.167 0.652 Ag
```

## Properties
As for the magnetic moment: 1.0 μB/f.u. The formation energy without anion corrections comes out at -2.37 eV/atom. The energy above the most stable polymorph in this dataset is 0.013 eV per atom.

=====

10.
A plane-wave DFT calculation with GGA-PBE was carried out for a relaxed structure of Li2DyIr.

Structure (POSCAR):
```
Li2DyIr
1.0
4.510 0.000 0.000
2.255 3.906 0.000
2.255 1.302 3.680
Li Ir Dy
2 1 1
Direct
0.750 0.750 0.750 Li
0.250 0.250 0.250 Li
0.500 0.500 0.500 Ir
0.000 0.000 0.000 Dy
```

## Properties
The formation energy comes out at -0.7 eV/f.u. As for the magnetic moment: 0.0 μB/f.u.

=====

> Which formula does entry 5 have?

RbIO3

=====

> Which value of magnetic moment does entry 6 give?

0.0 μB/f.u.